(1)
First-principles (PBE) data for LiP2W after structural relaxation, as listed in Alexandria via LeMat-Bulk.

DFT total energy: -6.53 eV/atom
energy above the most stable polymorph in this dataset: 233 meV per atom
ΔE_f: -0.11 eV/atom
density of states at the Fermi level: 1.6 states/eV/f.u.
crystal system: orthorhombic
volume: 52.74 Å³ per cell
total moment: 0.000 μB/atom

a b c (Å): 4.4303 4.4303 4.4303
angles (deg): 133.56 120.28 78.85
With the nearest neighbours (Å) after each atom.
Positions (direct):
Li (0.0000, 0.0000, 0.0000)  4 P 2.36
P (0.2320, 0.7320, 0.5000)  2 Li 2.36, 2 W 2.53
P (0.7680, 0.2680, 0.5000)  2 Li 2.36, 2 W 2.53
W (0.5000, 0.5000, 0.0000)  8 P 2.53-2.72, 4 Li 2.81


(2)
First-principles (PBE) data for Mg2CoIr after structural relaxation, as listed in Alexandria via LeMat-Bulk.

DFT total energy: -4.84 eV/atom
energy above the most stable polymorph in this dataset: 46 meV per atom
ΔE_f: -0.05 eV/atom
density of states at the Fermi level: 5.2 states/eV/f.u.
crystal system: orthorhombic
volume: 59.63 Å³ per cell
total moment: 0.309 μB/atom

a b c (Å): 3.0809 4.3710 4.4279
angles (deg): 90.00 90.00 90.00
With the nearest neighbours (Å) after each atom.
Positions (direct):
Mg (0.0000, 0.0000, 0.0000)  4 Ir 2.66-2.73, 4 Co 2.71, 2 Mg 2.88
Mg (0.0000, 0.5000, 0.4234)  4 Co 2.63-2.76, 4 Ir 2.70, 2 Mg 2.88
Co (0.5000, 0.5000, 0.9053)  8 Mg 2.63-2.76, 2 Ir 2.80
Ir (0.5000, 0.0000, 0.5102)  8 Mg 2.66-2.73, 2 Co 2.80


(3)
First-principles (PBE) data for La6HPt2Br3 after structural relaxation, as listed in Alexandria via LeMat-Bulk.

DFT total energy: -5.28 eV/atom
density of states at the Fermi level: 13.0 states/eV/f.u.
crystal system: monoclinic
volume: 344.89 Å³ per cell
total moment: 0.001 μB/atom

a b c (Å): 7.1759 7.1759 8.0332
angles (deg): 98.97 98.97 118.85
With the nearest neighbours (Å) after each atom.
Positions (direct):
La (0.0624, 0.3891, 0.2037)  1 H 2.80, 2 Pt 2.90-2.95
La (0.2574, 0.2574, 0.7744)  2 Pt 2.90, 1 H 2.98, 1 Br 3.22
La (0.3891, 0.0624, 0.2037)  1 H 2.80, 2 Pt 2.90-2.95
La (0.6109, 0.9376, 0.7962)  1 H 2.80, 2 Pt 2.90-2.95
La (0.7426, 0.7426, 0.2256)  2 Pt 2.90, 1 H 2.98, 1 Br 3.22
La (0.9376, 0.6109, 0.7962)  1 H 2.80, 2 Pt 2.90-2.95
H (0.0000, 0.0000, 0.0000)  6 La 2.80-2.98
Pt (0.3386, 0.6614, 0.0000)  6 La 2.90-2.95
Pt (0.6614, 0.3386, 0.0000)  6 La 2.90-2.95
Br (0.1765, 0.8235, 0.5000)  6 La 3.26-3.29
Br (0.5000, 0.5000, 0.5000)  6 La 3.22-3.29
Br (0.8235, 0.1765, 0.5000)  6 La 3.26-3.29


(4)
First-principles (PBE) data for PuPaF6 after structural relaxation, as listed in Alexandria via LeMat-Bulk.

uncorrected formation energy: -27.77 eV/f.u.
DFT total energy: -7.85 eV/atom
density of states at the Fermi level: 15.9 states/eV/f.u.
crystal system: monoclinic
volume: 121.84 Å³ per cell
total moment: 0.875 μB/atom

a b c (Å): 4.3525 4.3525 7.1160
angles (deg): 106.54 106.54 75.70
With the nearest neighbours (Å) after each atom.
Positions (direct):
Pu (0.0000, 0.0000, 0.0000)  8 F 2.48-2.62
Pa (0.5000, 0.5000, 0.5000)  6 F 2.20-2.38
F (0.1149, 0.5825, 0.1975)  1 Pa 2.38, 2 Pu 2.48-2.62, 2 F 2.50-2.65
F (0.1660, 0.1660, 0.4557)  1 Pa 2.20
F (0.4175, 0.8851, 0.8025)  1 Pa 2.38, 2 Pu 2.48-2.62, 2 F 2.50-2.65
F (0.5825, 0.1149, 0.1975)  1 Pa 2.38, 2 Pu 2.48-2.62, 2 F 2.50-2.65
F (0.8340, 0.8340, 0.5443)  1 Pa 2.20
F (0.8851, 0.4175, 0.8025)  1 Pa 2.38, 2 Pu 2.48-2.62, 2 F 2.50-2.65


(5)
First-principles (PBE) data for NdDy6Te8 after structural relaxation, as listed in Alexandria via LeMat-Bulk.

uncorrected formation energy: -18.53 eV/f.u.
DFT total energy: -5.07 eV/atom
energy above the most stable polymorph in this dataset: 136 meV per atom
density of states at the Fermi level: 9.1 states/eV/f.u.
crystal system: trigonal
volume: 463.24 Å³ per cell
total moment: 0.000 μB/atom

a b c (Å): 8.1847 8.1847 8.1847
angles (deg): 69.32 69.32 69.32
With the nearest neighbours (Å) after each atom.
Positions (direct):
Nd (0.0000, 0.0000, 0.0000)  6 Te 3.15
Dy (0.0788, 0.4515, 0.6932)  7 Te 3.09-3.27
Dy (0.3068, 0.9212, 0.5485)  7 Te 3.09-3.27
Dy (0.4515, 0.6932, 0.0788)  7 Te 3.09-3.27
Dy (0.5485, 0.3068, 0.9212)  7 Te 3.09-3.27
Dy (0.6932, 0.0788, 0.4515)  7 Te 3.09-3.27
Dy (0.9212, 0.5485, 0.3068)  7 Te 3.09-3.27
Te (0.1008, 0.8080, 0.3729)  5 Dy 3.09-3.27, 1 Nd 3.15
Te (0.1920, 0.6271, 0.8992)  5 Dy 3.09-3.27, 1 Nd 3.15
Te (0.3246, 0.3246, 0.3246)  6 Dy 3.19-3.27
Te (0.3729, 0.1008, 0.8080)  5 Dy 3.09-3.27, 1 Nd 3.15
Te (0.6271, 0.8992, 0.1920)  5 Dy 3.09-3.27, 1 Nd 3.15
Te (0.6754, 0.6754, 0.6754)  6 Dy 3.19-3.27
Te (0.8080, 0.3729, 0.1008)  5 Dy 3.09-3.27, 1 Nd 3.15
Te (0.8992, 0.1920, 0.6271)  5 Dy 3.09-3.27, 1 Nd 3.15


(6)
First-principles (PBE) data for HfScMnRe after structural relaxation, as listed in Alexandria via LeMat-Bulk.

DFT total energy: -9.56 eV/atom
ΔE_f: -0.09 eV/atom
density of states at the Fermi level: 4.4 states/eV/f.u.
crystal system: cubic
volume: 69.73 Å³ per cell
total moment: 0.703 μB/atom

a b c (Å): 4.6200 4.6200 4.6200
angles (deg): 60.00 60.00 60.00
With the nearest neighbours (Å) after each atom.
Positions (direct):
Hf (0.0000, 0.0000, 0.0000)  4 Mn 2.83, 4 Re 2.83
Sc (0.5000, 0.5000, 0.5000)  4 Mn 2.83, 4 Re 2.83
Mn (0.2500, 0.2500, 0.2500)  4 Hf 2.83, 4 Sc 2.83
Re (0.7500, 0.7500, 0.7500)  4 Hf 2.83, 4 Sc 2.83